A geometry-optimized SiHg structure, computed with GGA-PBE.

The structure belongs to space group R-3m (No. 166, hexagonal axes); the cell edges are 3.7824, 3.7824 and 22.0877 Å and the angles 90.00°, 90.00° and 120.00°. The asymmetric unit holds Si at (0.0000, 0.0000, 0.1471) and Hg at (0.0000, 0.0000, 0.3852).

As for the uncorrected formation energy: 238 meV per atom. The offset from the most stable computed form is 2.136 kcal/mol of atoms. The calculation puts the raw total energy at -2.624 eV per atom.


A geometry-optimized BaTl2Co2 structure, computed with GGA-PBE.

The structure belongs to space group I4/mmm (No. 139); the cell edges are 4.774, 4.774 and 10.568 Å and the angles 90.00°, 90.00° and 90.00°. The asymmetric unit holds Ba at (0.000, 0.000, 0.000), Tl at (0.000, 0.500, 0.250) and Co at (0.000, 0.000, 0.396).

As for the formation energy: 0.25 eV per atom. The calculation puts the raw total energy at -3.926 eV per atom.


A geometry-optimized LaSm12Dy3 structure, computed with GGA-PBE.

The structure belongs to space group P4/mmm (No. 123); the cell edges are 5.119, 5.119 and 20.493 Å and the angles 90.00°, 90.00° and 90.00°. The asymmetric unit holds La at (0.000, 0.000, 0.000), Sm at (0.000, 0.500, 0.128), Sm at (0.000, 0.500, 0.376), Sm at (0.500, 0.500, 0.000), Sm at (0.500, 0.500, 0.253), Sm at (0.500, 0.500, 0.500), Dy at (0.000, 0.000, 0.251) and Dy at (0.000, 0.000, 0.500).

As for the formation energy: 0.02 eV per atom. The calculation puts the raw total energy at -4.693 eV per atom.


A geometry-optimized Na2Ti2Si4O13 structure, computed with GGA-PBE.

The structure belongs to space group C2/c (No. 15); the cell edges are 24.810, 8.773 and 5.282 Å and the angles 90.00°, 100.09° and 90.00°. The asymmetric unit holds Na at (0.151, 0.200, 0.296), Ti at (0.150, 0.409, 0.785), Si at (0.065, 0.102, 0.792), Si at (0.233, 0.092, 0.777), O at (0.000, 0.143, 0.750), O at (0.079, 0.027, 0.524), O at (0.104, 0.247, 0.875), O at (0.117, 0.433, 0.453), O at (0.201, 0.418, 0.169), O at (0.206, 0.260, 0.724) and O at (0.207, 0.008, 0.013).

As for the uncorrected formation energy: -2748 meV per atom. The calculation puts the raw total energy at -7.728 eV per atom.